# Sm2Dy4Ge3O2 | Alexandria | PBE | relaxed
# crystal system	tetragonal
# ΔE_f (raw)	-17.34	eV/f.u.
# symmetry	I4/mmm
data_Sm2Dy4Ge3O2
_chemical_formula_sum 'Sm2 Dy4 Ge3 O2'
_cell_length_a 4.557
_cell_length_b 4.557
_cell_length_c 12.418
_cell_angle_alpha 100.57
_cell_angle_beta 100.57
_cell_angle_gamma 90.00
_symmetry_space_group_name_H-M 'P 1'
_symmetry_Int_Tables_number 1
loop_
_symmetry_equiv_pos_as_xyz
'x,y,z'
loop_
_atom_site_label
_atom_site_type_symbol
_atom_site_fract_x
_atom_site_fract_y
_atom_site_fract_z
_atom_site_occupancy
O1 O 0.594 0.594 0.188 1
Dy1 Dy 0.080 0.580 0.160 1
Dy2 Dy 0.420 0.920 0.840 1
Dy3 Dy 0.920 0.420 0.840 1
Sm1 Sm 0.302 0.302 0.604 1
O2 O 0.406 0.406 0.812 1
Ge1 Ge 0.826 0.826 0.653 1
Sm2 Sm 0.698 0.698 0.396 1
Ge2 Ge 0.174 0.174 0.347 1
Dy4 Dy 0.580 0.080 0.160 1
Ge3 Ge 0.000 0.000 0.000 1

# LiPrSc2Se4 | Alexandria | PBE | relaxed
# crystal system	monoclinic
# ΔE_f (raw)	-13.21	eV/f.u.
# symmetry	P2/m
data_LiPrSc2Se4
_chemical_formula_sum 'Li1 Pr1 Sc2 Se4'
_cell_length_a 3.966
_cell_length_b 6.878
_cell_length_c 7.022
_cell_angle_alpha 108.83
_cell_angle_beta 90.00
_cell_angle_gamma 90.00
_symmetry_space_group_name_H-M 'P 1'
_symmetry_Int_Tables_number 1
loop_
_symmetry_equiv_pos_as_xyz
'x,y,z'
loop_
_atom_site_label
_atom_site_type_symbol
_atom_site_fract_x
_atom_site_fract_y
_atom_site_fract_z
_atom_site_occupancy
Pr1 Pr 0.000 0.000 0.000 1
Se1 Se 0.000 0.254 0.734 1
Sc1 Sc 0.500 0.000 0.500 1
Se2 Se 0.500 0.730 0.730 1
Sc2 Sc 0.000 0.500 0.500 1
Li1 Li 0.500 0.500 0.000 1
Se3 Se 0.500 0.270 0.270 1
Se4 Se 0.000 0.746 0.266 1

# K3Bi2Te4 | Alexandria | PBE | relaxed
# crystal system	monoclinic
# ΔE_f (raw)	-5.09	eV/f.u.
# symmetry	C2/m
data_K3Bi2Te4
_chemical_formula_sum 'K3 Bi2 Te4'
_cell_length_a 5.888
_cell_length_b 7.293
_cell_length_c 9.297
_cell_angle_alpha 96.71
_cell_angle_beta 108.46
_cell_angle_gamma 90.00
_symmetry_space_group_name_H-M 'P 1'
_symmetry_Int_Tables_number 1
loop_
_symmetry_equiv_pos_as_xyz
'x,y,z'
loop_
_atom_site_label
_atom_site_type_symbol
_atom_site_fract_x
_atom_site_fract_y
_atom_site_fract_z
_atom_site_occupancy
Te1 Te 0.199 0.160 0.398 1
Te2 Te 0.801 0.840 0.602 1
K1 K 0.150 0.625 0.301 1
Bi1 Bi 0.355 0.929 0.710 1
Bi2 Bi 0.645 0.071 0.290 1
Te3 Te 0.463 0.265 0.927 1
K2 K 0.850 0.375 0.699 1
K3 K 0.000 0.000 0.000 1
Te4 Te 0.537 0.735 0.073 1

# Mg2HgN | Alexandria | PBE | relaxed
# crystal system	trigonal
# ΔE_f (raw)	-1.95	eV/f.u.
# energy above the most stable polymorph in this dataset	0.000	eV per atom
# symmetry	R-3m
data_Mg2HgN
_chemical_formula_sum 'Mg2 Hg1 N1'
_cell_length_a 3.244
_cell_length_b 3.244
_cell_length_c 7.615
_cell_angle_alpha 77.70
_cell_angle_beta 77.70
_cell_angle_gamma 60.00
_symmetry_space_group_name_H-M 'P 1'
_symmetry_Int_Tables_number 1
loop_
_symmetry_equiv_pos_as_xyz
'x,y,z'
loop_
_atom_site_label
_atom_site_type_symbol
_atom_site_fract_x
_atom_site_fract_y
_atom_site_fract_z
_atom_site_occupancy
Hg1 Hg 0.500 0.500 0.500 1
Mg1 Mg 0.286 0.286 0.141 1
N1 N 0.000 0.000 0.000 1
Mg2 Mg 0.714 0.714 0.859 1

# TmHfZr2 | Alexandria | PBE | relaxed
# E_form	68	meV per atom
# crystal system	trigonal
# energy above the most stable polymorph in this dataset	0.000	eV per atom
# symmetry	R3m
data_TmHfZr2
_chemical_formula_sum 'Tm1 Hf1 Zr2'
_cell_length_a 3.267
_cell_length_b 3.267
_cell_length_c 10.721
_cell_angle_alpha 81.24
_cell_angle_beta 81.24
_cell_angle_gamma 60.00
_symmetry_space_group_name_H-M 'P 1'
_symmetry_Int_Tables_number 1
loop_
_symmetry_equiv_pos_as_xyz
'x,y,z'
loop_
_atom_site_label
_atom_site_type_symbol
_atom_site_fract_x
_atom_site_fract_y
_atom_site_fract_z
_atom_site_occupancy
Tm1 Tm 0.500 0.500 0.501 1
Zr1 Zr 0.254 0.254 0.238 1
Zr2 Zr 0.080 0.080 0.761 1
Hf1 Hf 0.667 0.667 0.000 1

# Zr2InBr | Alexandria | PBE | relaxed
# crystal system	cubic
# ΔE_f (raw)	1.41	eV/f.u.
# energy above the most stable polymorph in this dataset	0.771	eV per atom
# symmetry	F-43m
data_Zr2InBr
_chemical_formula_sum 'Zr2 In1 Br1'
_cell_length_a 5.131
_cell_length_b 5.131
_cell_length_c 5.131
_cell_angle_alpha 60.00
_cell_angle_beta 60.00
_cell_angle_gamma 60.00
_symmetry_space_group_name_H-M 'P 1'
_symmetry_Int_Tables_number 1
loop_
_symmetry_equiv_pos_as_xyz
'x,y,z'
loop_
_atom_site_label
_atom_site_type_symbol
_atom_site_fract_x
_atom_site_fract_y
_atom_site_fract_z
_atom_site_occupancy
In1 In 0.750 0.750 0.750 1
Br1 Br 0.500 0.500 0.500 1
Zr1 Zr 0.000 0.000 0.000 1
Zr2 Zr 0.250 0.250 0.250 1

# Ba2Mg4Sn3Bi | Alexandria | PBE | relaxed
# E_form	-493	meV per atom
# crystal system	tetragonal
# symmetry	P-4m2
data_Ba2Mg4Sn3Bi
_chemical_formula_sum 'Ba2 Mg4 Sn3 Bi1'
_cell_length_a 5.030
_cell_length_b 5.030
_cell_length_c 12.045
_cell_angle_alpha 90.00
_cell_angle_beta 90.00
_cell_angle_gamma 90.00
_symmetry_space_group_name_H-M 'P 1'
_symmetry_Int_Tables_number 1
loop_
_symmetry_equiv_pos_as_xyz
'x,y,z'
loop_
_atom_site_label
_atom_site_type_symbol
_atom_site_fract_x
_atom_site_fract_y
_atom_site_fract_z
_atom_site_occupancy
Mg1 Mg 0.000 0.500 0.366 1
Ba1 Ba 0.000 0.500 0.750 1
Mg2 Mg 0.500 0.500 0.000 1
Mg3 Mg 0.500 0.000 0.634 1
Ba2 Ba 0.500 0.000 0.250 1
Sn1 Sn 0.500 0.000 0.867 1
Sn2 Sn 0.000 0.500 0.133 1
Bi1 Bi 0.500 0.500 0.500 1
Sn3 Sn 0.000 0.000 0.500 1
Mg4 Mg 0.000 0.000 0.000 1

# As2Se2Br | Alexandria | PBE | relaxed
# crystal system	tetragonal
# ΔE_f (raw)	0.24	eV/f.u.
# energy above the most stable polymorph in this dataset	0.096	eV per atom
# symmetry	I4/mmm
data_As2Se2Br
_chemical_formula_sum 'As2 Se2 Br1'
_cell_length_a 4.884
_cell_length_b 4.884
_cell_length_c 6.197
_cell_angle_alpha 66.79
_cell_angle_beta 66.79
_cell_angle_gamma 90.00
_symmetry_space_group_name_H-M 'P 1'
_symmetry_Int_Tables_number 1
loop_
_symmetry_equiv_pos_as_xyz
'x,y,z'
loop_
_atom_site_label
_atom_site_type_symbol
_atom_site_fract_x
_atom_site_fract_y
_atom_site_fract_z
_atom_site_occupancy
Se1 Se 0.750 0.250 0.500 1
As1 As 0.647 0.647 0.707 1
Br1 Br 0.000 0.000 0.000 1
Se2 Se 0.250 0.750 0.500 1
As2 As 0.353 0.353 0.293 1

# SrCdRuO6 | Alexandria | PBE | relaxed
# crystal system	monoclinic
# ΔE_f (raw)	-10.24	eV/f.u.
# symmetry	C2
data_SrCdRuO6
_chemical_formula_sum 'Sr1 Cd1 Ru1 O6'
_cell_length_a 5.705
_cell_length_b 5.705
_cell_length_c 5.071
_cell_angle_alpha 91.26
_cell_angle_beta 88.74
_cell_angle_gamma 58.10
_symmetry_space_group_name_H-M 'P 1'
_symmetry_Int_Tables_number 1
loop_
_symmetry_equiv_pos_as_xyz
'x,y,z'
loop_
_atom_site_label
_atom_site_type_symbol
_atom_site_fract_x
_atom_site_fract_y
_atom_site_fract_z
_atom_site_occupancy
Ru1 Ru 0.346 0.346 0.500 1
O1 O 0.066 0.560 0.739 1
O2 O 0.324 0.623 0.304 1
Sr1 Sr 0.021 0.021 0.000 1
O3 O 0.623 0.324 0.696 1
Cd1 Cd 0.671 0.671 0.500 1
O4 O 0.560 0.067 0.261 1
O5 O 0.358 0.030 0.704 1
O6 O 0.030 0.358 0.296 1

# CsRb2ZnP2 | Alexandria | PBE | relaxed
# E_form	-177	meV per atom
# crystal system	orthorhombic
# symmetry	Ibam
data_CsRb2ZnP2
_chemical_formula_sum 'Cs2 Rb4 Zn2 P4'
_cell_length_a 8.351
_cell_length_b 7.490
_cell_length_c 8.849
_cell_angle_alpha 115.04
_cell_angle_beta 118.16
_cell_angle_gamma 90.00
_symmetry_space_group_name_H-M 'P 1'
_symmetry_Int_Tables_number 1
loop_
_symmetry_equiv_pos_as_xyz
'x,y,z'
loop_
_atom_site_label
_atom_site_type_symbol
_atom_site_fract_x
_atom_site_fract_y
_atom_site_fract_z
_atom_site_occupancy
P1 P 0.583 0.427 0.855 1
Cs1 Cs 0.000 0.750 0.000 1
Zn1 Zn 0.500 0.250 0.000 1
P2 P 0.728 0.073 0.145 1
Rb1 Rb 0.126 0.317 0.634 1
P3 P 0.272 0.927 0.855 1
Cs2 Cs 0.000 0.250 0.000 1
Rb2 Rb 0.492 0.183 0.366 1
Rb3 Rb 0.874 0.683 0.366 1
Zn2 Zn 0.500 0.750 0.000 1
P4 P 0.417 0.573 0.145 1
Rb4 Rb 0.508 0.817 0.634 1

# Ag4AuF5 | Alexandria | PBE | relaxed
# crystal system	orthorhombic
# ΔE_f (raw)	-8.45	eV/f.u.
# symmetry	Immm
data_Ag4AuF5
_chemical_formula_sum 'Ag4 Au1 F5'
_cell_length_a 3.494
_cell_length_b 7.296
_cell_length_c 7.717
_cell_angle_alpha 118.24
_cell_angle_beta 103.08
_cell_angle_gamma 90.00
_symmetry_space_group_name_H-M 'P 1'
_symmetry_Int_Tables_number 1
loop_
_symmetry_equiv_pos_as_xyz
'x,y,z'
loop_
_atom_site_label
_atom_site_type_symbol
_atom_site_fract_x
_atom_site_fract_y
_atom_site_fract_z
_atom_site_occupancy
Au1 Au 0.500 0.000 0.000 1
Ag1 Ag 0.280 0.780 0.560 1
F1 F 0.162 0.913 0.323 1
Ag2 Ag 0.720 0.220 0.440 1
F2 F 0.500 0.500 0.000 1
Ag3 Ag 0.000 0.281 0.000 1
F3 F 0.838 0.590 0.677 1
F4 F 0.838 0.087 0.677 1
F5 F 0.162 0.410 0.323 1
Ag4 Ag 0.000 0.719 0.000 1

# Ta2TiW2 | Alexandria | PBE | relaxed
# E_form	400	meV per atom
# crystal system	orthorhombic
# energy above the most stable polymorph in this dataset	0.000	eV per atom
# symmetry	Cmcm
data_Ta2TiW2
_chemical_formula_sum 'Ta4 Ti2 W4'
_cell_length_a 4.971
_cell_length_b 5.349
_cell_length_c 7.321
_cell_angle_alpha 111.43
_cell_angle_beta 90.00
_cell_angle_gamma 90.00
_symmetry_space_group_name_H-M 'P 1'
_symmetry_Int_Tables_number 1
loop_
_symmetry_equiv_pos_as_xyz
'x,y,z'
loop_
_atom_site_label
_atom_site_type_symbol
_atom_site_fract_x
_atom_site_fract_y
_atom_site_fract_z
_atom_site_occupancy
W1 W 0.250 0.599 0.708 1
Ta1 Ta 0.250 0.566 0.131 1
W2 W 0.750 0.890 0.292 1
W3 W 0.750 0.401 0.292 1
Ta2 Ta 0.750 0.816 0.633 1
W4 W 0.250 0.110 0.708 1
Ta3 Ta 0.250 0.184 0.367 1
Ti1 Ti 0.500 0.000 0.000 1
Ti2 Ti 0.000 0.000 0.000 1
Ta4 Ta 0.750 0.434 0.869 1